First-principles (PBE) data for a relaxed Ta2MnMo crystal, as listed in the Alexandria database.

Properties
The space group is P4mm (99). The calculation puts the formation energy at -0.035 eV/atom.

Cell and atoms, written as POSCAR:
```
Ta2MnMo
1.0
3.150 0.000 0.000
0.000 3.150 0.000
0.000 0.000 6.376
Ta Mn Mo
2 1 1
Cartesian
0.000 0.000 0.000 Ta
1.575 1.575 1.760 Ta
0.000 0.000 3.286 Mn
1.575 1.575 4.740 Mo
```

=====

First-principles (PBE) data for a relaxed SrCa2B crystal, as listed in the Alexandria database.

Properties
The space group is I-42d (122). The calculation puts the formation energy at 0.446 eV/atom.

Cell and atoms, written as POSCAR:
```
SrCa2B
1.0
-4.601 4.601 3.124
4.601 -4.601 3.124
4.601 4.601 -3.124
Sr Ca B
2 4 2
Cartesian
0.000 0.000 0.000 Sr
0.000 4.601 1.562 Sr
2.300 -1.157 2.343 Ca
3.444 2.300 0.781 Ca
2.300 5.758 -0.781 Ca
1.157 2.300 3.905 Ca
4.601 0.000 1.562 B
0.000 0.000 3.124 B
```

=====

First-principles (PBE) data for a relaxed ZnGe3P crystal, as listed in the Alexandria database.

Properties
The space group is Pm-3m (221). The calculation puts the formation energy at 0.675 eV/atom. As for the relative energy among the computed polymorphs: 0.000 eV/atom.

Cell and atoms, written as POSCAR:
```
ZnGe3P
1.0
4.831 0.000 0.000
0.000 4.831 0.000
0.000 0.000 4.831
Zn Ge P
1 3 1
Cartesian
0.000 0.000 0.000 Zn
0.000 2.415 2.415 Ge
2.415 0.000 2.415 Ge
2.415 2.415 0.000 Ge
2.415 2.415 2.415 P
```

=====

First-principles (PBE) data for a relaxed BaCrIn2 crystal, as listed in the Alexandria database.

Properties
The space group is Pmmm (47). The calculation puts the formation energy at 0.260 eV/atom.

Cell and atoms, written as POSCAR:
```
BaCrIn2
1.0
4.740 0.000 0.000
0.000 4.768 0.000
0.000 0.000 5.194
Ba Cr In
1 1 2
Cartesian
0.000 0.000 0.000 Ba
2.370 2.384 0.000 Cr
0.000 2.384 2.597 In
2.370 0.000 2.597 In
```